This record from Alexandria describes a relaxed structure of Ir2PtRh. The functional is PBE-GGA.

E_form: 44 meV per atom
space group: I4/mmm
E: -7.734 eV/atom
calculated volume: 14.71 A^3/atom
energy above the lowest structure with this stoichiometry: 0.053 eV per atom

abc: 4.769 4.769 4.769
angles: 131.94 131.94 70.33
Positions (direct):
Ir 0.250 0.750 0.500
Ir 0.750 0.250 0.500
Pt 0.000 0.000 0.000
Rh 0.500 0.500 0.000

---

This record from Alexandria describes a relaxed structure of IrPtRh2. The functional is PBE-GGA.

E_form: 17 meV per atom
space group: R3m
E: -7.384 eV/atom
calculated volume: 14.64 A^3/atom
energy above the lowest structure with this stoichiometry: 0.060 eV per atom

abc: 9.087 9.087 9.087
angles: 17.40 17.40 17.40
Positions (direct):
Ir 0.000 0.000 0.000
Pt 0.248 0.248 0.248
Rh 0.495 0.495 0.495
Rh 0.747 0.747 0.747

---

This record from Alexandria describes a relaxed structure of IrPtRh2. The functional is PBE-GGA.

E_form: 2 meV per atom
space group: C2/m
E: -7.399 eV/atom
calculated volume: 14.63 A^3/atom
energy above the lowest structure with this stoichiometry: 0.045 eV per atom

abc: 4.752 4.752 4.755
angles: 99.55 99.55 33.61
Positions (direct):
Ir 0.000 0.000 0.000
Pt 0.500 0.500 0.500
Rh 0.254 0.254 0.757
Rh 0.746 0.746 0.243

---

This record from Alexandria describes a relaxed structure of IrPt2Rh. The functional is PBE-GGA.

E_form: 34 meV per atom
space group: R3m
E: -7.039 eV/atom
calculated volume: 15.05 A^3/atom
energy above the lowest structure with this stoichiometry: 0.057 eV per atom

abc: 9.213 9.213 9.213
angles: 17.28 17.28 17.28
Positions (direct):
Ir 0.000 0.000 0.000
Pt 0.164 0.164 0.164
Pt 0.583 0.583 0.583
Rh 0.746 0.746 0.746

---

This record from Alexandria describes a relaxed structure of Ir2PtRh. The functional is PBE-GGA.

E_form: 420 meV per atom
space group: Fm-3m
E: -7.359 eV/atom
calculated volume: 15.10 A^3/atom
energy above the lowest structure with this stoichiometry: 0.429 eV per atom

abc: 4.404 4.404 4.404
angles: 60.00 60.00 60.00
Positions (direct):
Ir 0.250 0.250 0.250
Ir 0.750 0.750 0.750
Pt 0.000 0.000 0.000
Rh 0.500 0.500 0.500

---

This record from Alexandria describes a relaxed structure of IrPt3Rh2. The functional is PBE-GGA.

E_form: 144 meV per atom
space group: P-1
E: -6.803 eV/atom
calculated volume: 15.55 A^3/atom

abc: 4.581 6.023 7.097
angles: 74.04 84.43 83.44
Positions (direct):
Ir 0.125 0.479 0.172
Ir 0.875 0.521 0.828
Pt 0.099 0.267 0.583
Pt 0.354 0.016 0.330
Pt 0.396 0.241 0.923
Pt 0.604 0.759 0.077
Pt 0.646 0.984 0.670
Pt 0.901 0.733 0.417
Rh 0.126 0.870 0.879
Rh 0.383 0.623 0.629
Rh 0.617 0.377 0.371
Rh 0.874 0.130 0.121

---

calculated volume of number 4 (IrPt2Rh)? 15.05 A^3/atom